Entry from the Alexandria database: CrGaNO2 after structural relaxation (GGA+U).

Geometry as POSCAR:
```
CrGaNO2
1.0
-0.146 2.740 2.709
-0.858 -2.666 2.651
3.777 -0.506 0.714
Ga Cr O N
1 1 2 1
Cartesian
0.000 0.000 0.000 Ga
1.387 -0.216 3.037 Cr
-0.429 -1.333 1.325 O
-0.073 1.370 1.355 O
1.889 -0.253 0.357 N
```

Space group ... P4/mmm (123)
Volume ... 11.53 Å³/atom
ρ ... 4.8 g cm⁻³
Total DFT energy (no corrections) ... -29.3 eV/cell